Computed, not measured: crystalline DyY4Lu2Ni2Te2 at its relaxed geometry at the PBE-GGA level of DFT.

Output
* energy: -64.535 eV per cell
* volume: 26.095 Å³/atom
* offset from the most stable computed form: 0 meV/atom
* symmetry: Imm2

a b c (Å): 9.326 9.326 9.326
angles (deg): 156.11 67.18 118.27
Positions (direct):
Dy1 0.000 0.000 0.000
Y1 0.285 0.417 0.868
Y2 0.549 0.417 0.132
Y3 0.621 0.268 0.353
Y4 0.915 0.268 0.647
Lu1 0.304 0.619 0.685
Lu2 0.934 0.619 0.315
Ni1 0.169 0.932 0.237
Ni2 0.694 0.932 0.763
Te1 0.262 0.762 0.500
Te2 0.664 0.664 0.000